1.
This record from Alexandria describes crystalline Ce2PaCu2Ge2 at its relaxed geometry. The functional is PBE.

Cell lengths 9.540, 9.540, 9.540 Å; angles 25.38, 25.38, 25.38 degrees
Element x y z (fractional)
Ce  0.140  0.140  0.140
Ce  0.860  0.860  0.860
Pa  0.000  0.000  0.000
Cu  0.401  0.401  0.401
Cu  0.599  0.599  0.599
Ge  0.266  0.266  0.266
Ge  0.734  0.734  0.734

Summary:
The raw total energy is -5.9057 eV/atom. As for the crystal system: trigonal. Its spin magnetization is 0.21 μB/atom. Its theoretical density is 9.27 Mg/m³.

---

2.
This record from Alexandria describes crystalline CeCuGe2Pd at its relaxed geometry. The functional is PBE.

Cell lengths 5.992, 5.992, 5.992 Å; angles 138.93, 138.93, 59.48 degrees
Element x y z (fractional)
Ce  0.000  0.000  0.000
Cu  0.750  0.250  0.500
Ge  0.381  0.381  0.000
Ge  0.619  0.619  0.000
Pd  0.250  0.750  0.500

Summary:
The raw total energy is -5.5379 eV/atom. As for the crystal system: tetragonal. Its spin magnetization is 0.11 μB/atom. Its theoretical density is 8.23 Mg/m³.

---

3.
This record from Alexandria describes crystalline Ce2CuGe3Pd4 at its relaxed geometry. The functional is PBE.

Cell lengths 4.313, 4.313, 10.183 Å; angles 90.00, 90.00, 90.00 degrees
Element x y z (fractional)
Ce  0.000  0.500  0.241
Ce  0.500  0.000  0.759
Cu  0.500  0.500  0.000
Ge  0.000  0.000  0.000
Ge  0.000  0.500  0.631
Ge  0.500  0.000  0.369
Pd  0.000  0.000  0.500
Pd  0.000  0.500  0.871
Pd  0.500  0.000  0.129
Pd  0.500  0.500  0.500

Summary:
The raw total energy is -5.7629 eV/atom. As for the crystal system: tetragonal. Its spin magnetization is 0.15 μB/atom. Its theoretical density is 8.65 Mg/m³.

---

4.
This record from Alexandria describes crystalline Ce2Cu3Ge4Pd at its relaxed geometry. The functional is PBE.

Cell lengths 4.261, 4.261, 9.944 Å; angles 90.00, 90.00, 90.00 degrees
Element x y z (fractional)
Ce  0.000  0.500  0.249
Ce  0.500  0.000  0.751
Cu  0.000  0.500  0.875
Cu  0.500  0.000  0.125
Cu  0.500  0.500  0.500
Ge  0.000  0.000  0.000
Ge  0.000  0.500  0.635
Ge  0.500  0.000  0.365
Ge  0.500  0.500  0.000
Pd  0.000  0.000  0.500

Summary:
The raw total energy is -5.3347 eV/atom. As for the crystal system: tetragonal. Its spin magnetization is 0.10 μB/atom. Its theoretical density is 7.98 Mg/m³.

---

5.
This record from Alexandria describes crystalline Ce2CuGe4Pd3 at its relaxed geometry. The functional is PBE.

Cell lengths 4.318, 4.318, 10.153 Å; angles 90.00, 90.00, 90.00 degrees
Element x y z (fractional)
Ce  0.000  0.500  0.246
Ce  0.500  0.000  0.754
Cu  0.500  0.500  0.000
Ge  0.000  0.000  0.500
Ge  0.000  0.500  0.871
Ge  0.500  0.000  0.129
Ge  0.500  0.500  0.500
Pd  0.000  0.000  0.000
Pd  0.000  0.500  0.629
Pd  0.500  0.000  0.371

Summary:
The raw total energy is -5.7047 eV/atom. As for the crystal system: tetragonal. Its spin magnetization is 0.11 μB/atom. Its theoretical density is 8.36 Mg/m³.

---

6.
This record from Alexandria describes crystalline Ce2Pm2CuGe4 at its relaxed geometry. The functional is PBE.

Cell lengths 6.552, 6.552, 6.552 Å; angles 114.61, 114.61, 99.62 degrees
Element x y z (fractional)
Ce  0.175  0.175  0.000
Ce  0.825  0.825  0.000
Pm  0.250  0.750  0.500
Pm  0.750  0.250  0.500
Cu  0.500  0.500  0.000
Ge  0.264  0.264  0.528
Ge  0.264  0.736  0.000
Ge  0.736  0.264  0.000
Ge  0.736  0.736  0.472

Summary:
The raw total energy is -5.2737 eV/atom. As for the crystal system: tetragonal. Its spin magnetization is 0.30 μB/atom. Its theoretical density is 7.24 Mg/m³.